1.
Here is BiTe2HO6 after structural relaxation from the Alexandria database. Energies are from PBE.

Output
Density of states at the Fermi level: 0.00 states/eV/f.u.
Crystal system: monoclinic
Raw total energy: -5.27 eV/atom

```
20
Lattice="5.426 0.195 0.202 1.992 7.919 0.304 1.992 0.010 7.925" Properties=species:S:1:pos:R:3 pbc="T T T"
Bi 3.349 7.147 1.145
Bi 6.062 0.977 7.286
Te 4.881 6.581 5.289
Te 1.817 2.985 1.558
Te 4.530 1.544 3.142
Te 7.594 5.139 6.873
H 3.349 2.589 5.538
H 6.062 5.535 2.894
O 3.832 6.845 7.407
O 2.865 0.878 1.216
O 5.578 1.280 1.024
O 6.546 7.246 7.216
O 5.289 6.288 3.449
O 6.835 5.009 2.121
O 4.122 1.837 4.983
O 2.576 3.116 6.310
O 3.110 5.635 5.092
O 3.587 3.147 2.510
O 6.300 2.489 3.339
O 5.823 4.978 5.921
```

***

2.
Here is Ti6Bi2HO after structural relaxation from the Alexandria database. Energies are from PBE.

Output
Density of states at the Fermi level: 12.79 states/eV/f.u.
Crystal system: tetragonal
Raw total energy: -6.95 eV/atom

```
10
Lattice="5.913 0.001 0.000 0.001 5.913 0.000 2.957 2.957 4.367" Properties=species:S:1:pos:R:3 pbc="T T T"
Ti 2.957 2.957 2.156
Ti 7.373 7.372 4.367
Ti 1.499 4.415 0.000
Ti 4.414 1.498 0.000
Ti 1.498 1.499 0.001
Ti 5.914 5.914 2.212
Bi 5.913 2.957 2.184
Bi 2.957 5.913 2.184
H 2.957 2.957 0.000
O 0.000 0.000 0.000
```

***

> The highest raw total energy belongs to which entry?

BiTe2HO6